{
  "formula": "NdTh2Ni",
  "functional": "GGA-PBE",
  "state": "relaxed",
  "lattice_angstrom": [[3.7963, 0.0000, 0.0000], [1.8982, 3.2877, 0.0000], [1.8982, 1.0959, 9.3393]],
  "species": ["Nd", "Th", "Th", "Ni"],
  "frac_coords": [[0.4981, 0.4981, 0.5056], [0.2718, 0.2718, 0.1846], [0.0628, 0.0628, 0.8116], [0.6672, 0.6672, 0.9983]],
  "spacegroup": "No. 160",
  "relative_energy_mev_per_atom": 115
}